1.
# CrCdSiGe2, optimized geometry, DFT GGA-PBE
# Total moment ... 1.8 Bohr magnetons per cell
# E_form (uncorrected) ... 0.75 eV per atom
data_CrCdSiGe2
_chemical_formula_sum 'Cr1 Cd1 Si1 Ge2'
_space_group_name_H-M_alt 'P 4/m m m'
_space_group_IT_number 123
_space_group_name_Hall '-P 4 2'
_cell_length_a 4.621
_cell_length_b 4.621
_cell_length_c 5.194
_cell_angle_alpha 90.00
_cell_angle_beta 90.00
_cell_angle_gamma 90.00
loop_
_atom_site_label
_atom_site_fract_x
_atom_site_fract_y
_atom_site_fract_z
_atom_site_occupancy
Cr1 0.000 0.000 0.000 1
Cd1 0.000 0.000 0.500 1
Si1 0.500 0.500 0.500 1
Ge1 0.000 0.500 0.000 1

---

2.
# CdCoW, optimized geometry, DFT GGA-PBE
# Total moment ... 0.7 Bohr magnetons per cell
# Final energy ... -6.59 eV/atom
data_CdCoW
_chemical_formula_sum 'Cd1 Co1 W1'
_space_group_name_H-M_alt 'P 3 m 1'
_space_group_IT_number 156
_space_group_name_Hall 'P 3 -2"'
_cell_length_a 2.8172
_cell_length_b 2.8172
_cell_length_c 6.8883
_cell_angle_alpha 90.00
_cell_angle_beta 90.00
_cell_angle_gamma 120.00
loop_
_atom_site_label
_atom_site_fract_x
_atom_site_fract_y
_atom_site_fract_z
_atom_site_occupancy
Cd1 0.0000 0.0000 0.0000 1
Co1 0.6667 0.3333 0.3365 1
W1 0.3333 0.6667 0.6180 1

---

3.
# ScZn2Sn, optimized geometry, DFT GGA-PBE
# Total moment ... 0.0 Bohr magnetons per cell
# Final energy ... -3.36 eV/atom
data_ScZn2Sn
_chemical_formula_sum 'Sc3 Zn6 Sn3'
_space_group_name_H-M_alt 'R -3 m'
_space_group_IT_number 166
_space_group_name_Hall '-R 3 2"'
_cell_length_a 4.3751
_cell_length_b 4.3751
_cell_length_c 14.5780
_cell_angle_alpha 90.00
_cell_angle_beta 90.00
_cell_angle_gamma 120.00
loop_
_atom_site_label
_atom_site_fract_x
_atom_site_fract_y
_atom_site_fract_z
_atom_site_occupancy
Sc1 0.0000 0.0000 0.0000 1
Zn1 0.0000 0.0000 0.2437 1
Sn1 0.0000 0.0000 0.5000 1

---

4.
# K4Tb3ErSe8, optimized geometry, DFT GGA-PBE
# Total moment ... 0.0 Bohr magnetons per cell
# E_form (uncorrected) ... -1.76 eV per atom
data_K4Tb3ErSe8
_chemical_formula_sum 'K12 Tb9 Er3 Se24'
_space_group_name_H-M_alt 'R -3 m'
_space_group_IT_number 166
_space_group_name_Hall '-R 3 2"'
_cell_length_a 8.4353
_cell_length_b 8.4353
_cell_length_c 23.0523
_cell_angle_alpha 90.00
_cell_angle_beta 90.00
_cell_angle_gamma 120.00
loop_
_atom_site_label
_atom_site_fract_x
_atom_site_fract_y
_atom_site_fract_z
_atom_site_occupancy
K1 0.0000 0.0000 0.0000 1
K2 0.0000 0.5000 0.0000 1
Tb1 0.0000 0.5000 0.5000 1
Er1 0.0000 0.0000 0.5000 1
Se1 0.0000 0.0000 0.2354 1
Se2 0.0028 0.5014 0.2350 1

---

5.
# AcPr12Ho7, optimized geometry, DFT GGA-PBE
# Total moment ... 0.0 Bohr magnetons per cell
# Final energy ... -4.04 eV/atom
data_AcPr12Ho7
_chemical_formula_sum 'Ac2 Pr24 Ho14'
_space_group_name_H-M_alt 'I m -3'
_space_group_IT_number 204
_space_group_name_Hall '-I 2 2 3'
_cell_length_a 11.653
_cell_length_b 11.653
_cell_length_c 11.653
_cell_angle_alpha 90.00
_cell_angle_beta 90.00
_cell_angle_gamma 90.00
loop_
_atom_site_label
_atom_site_fract_x
_atom_site_fract_y
_atom_site_fract_z
_atom_site_occupancy
Ac1 0.000 0.000 0.000 1
Pr1 0.000 0.293 0.231 1
Ho1 0.000 0.000 0.500 1
Ho2 0.250 0.250 0.250 1

---

6.
# PmPdBr6, optimized geometry, DFT GGA-PBE
# Total moment ... 0.9 Bohr magnetons per cell
# E_form (uncorrected) ... -0.93 eV per atom
data_PmPdBr6
_chemical_formula_sum 'Pm1 Pd1 Br6'
_space_group_name_H-M_alt 'P -1'
_space_group_IT_number 2
_space_group_name_Hall '-P 1'
_cell_length_a 6.701
_cell_length_b 6.757
_cell_length_c 7.267
_cell_angle_alpha 62.34
_cell_angle_beta 65.56
_cell_angle_gamma 63.21
loop_
_atom_site_label
_atom_site_fract_x
_atom_site_fract_y
_atom_site_fract_z
_atom_site_occupancy
Pm1 0.000 0.000 0.000 1
Pd1 0.500 0.500 0.500 1
Br1 0.099 0.734 0.745 1
Br2 0.278 0.559 0.260 1
Br3 0.433 0.108 0.734 1

---

7.
# Cs2RbAgBi, optimized geometry, DFT GGA-PBE
# Total moment ... 0.4 Bohr magnetons per cell
# Final energy ... -1.96 eV/atom
data_Cs2RbAgBi
_chemical_formula_sum 'Cs2 Rb1 Ag1 Bi1'
_space_group_name_H-M_alt 'P 4/m m m'
_space_group_IT_number 123
_space_group_name_Hall '-P 4 2'
_cell_length_a 7.091
_cell_length_b 7.091
_cell_length_c 5.609
_cell_angle_alpha 90.00
_cell_angle_beta 90.00
_cell_angle_gamma 90.00
loop_
_atom_site_label
_atom_site_fract_x
_atom_site_fract_y
_atom_site_fract_z
_atom_site_occupancy
Cs1 0.000 0.500 0.000 1
Rb1 0.000 0.000 0.500 1
Ag1 0.500 0.500 0.000 1
Bi1 0.500 0.500 0.500 1

---

8.
# Re3B2W2, optimized geometry, DFT GGA-PBE
# Total moment ... 0.0 Bohr magnetons per cell
# Final energy ... -11.18 eV/atom
data_Re3B2W2
_chemical_formula_sum 'Re6 B4 W4'
_space_group_name_H-M_alt 'C 1 2/m 1'
_space_group_IT_number 12
_space_group_name_Hall '-C 2y'
_cell_length_a 9.317
_cell_length_b 2.999
_cell_length_c 6.864
_cell_angle_alpha 90.00
_cell_angle_beta 113.00
_cell_angle_gamma 90.00
loop_
_atom_site_label
_atom_site_fract_x
_atom_site_fract_y
_atom_site_fract_z
_atom_site_occupancy
Re1 0.000 0.000 0.000 1
Re2 0.118 0.000 0.438 1
B1 0.162 0.500 0.221 1
W1 0.160 0.500 0.803 1

---

9.
# Pm4Ru, optimized geometry, DFT GGA-PBE
# Total moment ... 0.0 Bohr magnetons per cell
# Final energy ... -5.75 eV/atom
data_Pm4Ru
_chemical_formula_sum 'Pm32 Ru8'
_space_group_name_H-M_alt 'F d d 2'
_space_group_IT_number 43
_space_group_name_Hall 'F 2 -2d'
_cell_length_a 12.997
_cell_length_b 13.420
_cell_length_c 7.560
_cell_angle_alpha 90.00
_cell_angle_beta 90.00
_cell_angle_gamma 90.00
loop_
_atom_site_label
_atom_site_fract_x
_atom_site_fract_y
_atom_site_fract_z
_atom_site_occupancy
Pm1 0.117 0.331 0.000 1
Pm2 0.121 0.330 0.501 1
Ru1 0.000 0.000 0.991 1

---

10.
# CoSnP2Pd, optimized geometry, DFT GGA-PBE
# Total moment ... 0.0 Bohr magnetons per cell
# Final energy ... -5.10 eV/atom
data_CoSnP2Pd
_chemical_formula_sum 'Co1 Sn1 P2 Pd1'
_space_group_name_H-M_alt 'P 4/m m m'
_space_group_IT_number 123
_space_group_name_Hall '-P 4 2'
_cell_length_a 4.163
_cell_length_b 4.163
_cell_length_c 5.451
_cell_angle_alpha 90.00
_cell_angle_beta 90.00
_cell_angle_gamma 90.00
loop_
_atom_site_label
_atom_site_fract_x
_atom_site_fract_y
_atom_site_fract_z
_atom_site_occupancy
Co1 0.000 0.000 0.000 1
Sn1 0.000 0.000 0.500 1
P1 0.000 0.500 0.000 1
Pd1 0.500 0.500 0.500 1

---

11.
# Np2Al3Ga, optimized geometry, DFT GGA-PBE
# Total moment ... 14.8 Bohr magnetons per cell
# Final energy ... -6.86 eV/atom
data_Np2Al3Ga
_chemical_formula_sum 'Np4 Al6 Ga2'
_space_group_name_H-M_alt 'P 63/m m c'
_space_group_IT_number 194
_space_group_name_Hall '-P 6c 2c'
_cell_length_a 5.5925
_cell_length_b 5.5925
_cell_length_c 8.3971
_cell_angle_alpha 90.00
_cell_angle_beta 90.00
_cell_angle_gamma 120.00
loop_
_atom_site_label
_atom_site_fract_x
_atom_site_fract_y
_atom_site_fract_z
_atom_site_occupancy
Np1 0.3333 0.6667 0.0950 1
Al1 0.1741 0.3481 0.7500 1
Ga1 0.0000 0.0000 0.0000 1

---

12.
# Dy3Tm2In, optimized geometry, DFT GGA-PBE
# Total moment ... 0.0 Bohr magnetons per cell
# Final energy ... -4.03 eV/atom
data_Dy3Tm2In
_chemical_formula_sum 'Dy6 Tm4 In2'
_space_group_name_H-M_alt 'I m m m'
_space_group_IT_number 71
_space_group_name_Hall '-I 2 2'
_cell_length_a 5.685
_cell_length_b 6.389
_cell_length_c 10.087
_cell_angle_alpha 90.00
_cell_angle_beta 90.00
_cell_angle_gamma 90.00
loop_
_atom_site_label
_atom_site_fract_x
_atom_site_fract_y
_atom_site_fract_z
_atom_site_occupancy
Dy1 0.000 0.000 0.000 1
Dy2 0.000 0.000 0.345 1
Tm1 0.000 0.500 0.317 1
In1 0.000 0.500 0.000 1